(1)
A plane-wave DFT calculation with PBE was carried out for a geometry-optimized LaCdInSn structure.

Calculated values
Its space group is Pmmm (47). The value obtained for the energy of formation from the pure elements is -11.50 kcal/mol of atoms.

abc: 4.6607 4.7383 4.9169
angles: 90.00 90.00 90.00
Closest atoms and distances in Å follow each position.
Positions (direct):
La 0.0000 0.0000 0.0000  4 Sn 3.32, 4 In 3.39, 4 Cd 3.41
Cd 0.0000 0.5000 0.5000  4 In 3.32, 4 Sn 3.39, 4 La 3.41
In 0.5000 0.0000 0.5000  4 Cd 3.32, 4 La 3.39, 4 Sn 3.41
Sn 0.5000 0.5000 0.0000  4 La 3.32, 4 Cd 3.39, 4 In 3.41

---

(2)
A plane-wave DFT calculation with PBE was carried out for a geometry-optimized LiAlTcO5 structure.

Calculated values
The value obtained for the energy relative to the elements, uncorrected is -1.875 eV per atom. Its space group is C2/c (15).

abc: 5.6263 5.6263 6.8491
angles: 100.80 100.80 113.25
Closest atoms and distances in Å follow each position.
Positions (direct):
Li 0.2338 0.7662 0.7500  1 O 1.91
Li 0.7662 0.2338 0.2500  1 O 1.91
Al 0.5000 0.5000 0.0000  6 O 1.81-2.02
Al 0.5000 0.5000 0.5000  6 O 1.81-2.02
Tc 0.1892 0.8108 0.2500  4 O 1.78-1.81
Tc 0.8108 0.1892 0.7500  4 O 1.78-1.81
O 0.1070 0.2655 0.9478  1 Tc 1.78
O 0.1747 0.5509 0.3749  1 Tc 1.81, 1 Al 2.02
O 0.2655 0.1070 0.4478  1 Tc 1.78
O 0.4368 0.5632 0.7500  2 Al 1.81, 1 Li 1.91
O 0.4491 0.8253 0.1251  1 Tc 1.81, 1 Al 2.02
O 0.5509 0.1747 0.8749  1 Tc 1.81, 1 Al 2.02
O 0.5632 0.4368 0.2500  2 Al 1.81, 1 Li 1.91
O 0.7345 0.8930 0.5522  1 Tc 1.78
O 0.8253 0.4491 0.6251  1 Tc 1.81, 1 Al 2.02
O 0.8930 0.7345 0.0522  1 Tc 1.78

---

What did the second record say?
A plane-wave DFT calculation with PBE was carried out for a geometry-optimized LiAlTcO5 structure.

Calculated values
The value obtained for the energy relative to the elements, uncorrected is -1.875 eV per atom. Its space group is C2/c (15).

abc: 5.6263 5.6263 6.8491
angles: 100.80 100.80 113.25
Closest atoms and distances in Å follow each position.
Positions (direct):
Li 0.2338 0.7662 0.7500  1 O 1.91
Li 0.7662 0.2338 0.2500  1 O 1.91
Al 0.5000 0.5000 0.0000  6 O 1.81-2.02
Al 0.5000 0.5000 0.5000  6 O 1.81-2.02
Tc 0.1892 0.8108 0.2500  4 O 1.78-1.81
Tc 0.8108 0.1892 0.7500  4 O 1.78-1.81
O 0.1070 0.2655 0.9478  1 Tc 1.78
O 0.1747 0.5509 0.3749  1 Tc 1.81, 1 Al 2.02
O 0.2655 0.1070 0.4478  1 Tc 1.78
O 0.4368 0.5632 0.7500  2 Al 1.81, 1 Li 1.91
O 0.4491 0.8253 0.1251  1 Tc 1.81, 1 Al 2.02
O 0.5509 0.1747 0.8749  1 Tc 1.81, 1 Al 2.02
O 0.5632 0.4368 0.2500  2 Al 1.81, 1 Li 1.91
O 0.7345 0.8930 0.5522  1 Tc 1.78
O 0.8253 0.4491 0.6251  1 Tc 1.81, 1 Al 2.02
O 0.8930 0.7345 0.0522  1 Tc 1.78